(1)
Density functional theory data (PBE) for a relaxed ZrTaAlCu crystal.

Calculated total energy (hartree per atom): -0.2469
E above lowest polymorph (eV/atom): 0.000
Space-group type: F-43m, No. 216
Crystal system: cubic
Size of the total moment (μB/atom): 0.00

Cell: 6.526 6.526 6.526 Å, 90.00 90.00 90.00°
Positions (direct):
Zr 0.000 0.000 0.000
Zr 0.000 0.500 0.500
Zr 0.500 0.000 0.500
Zr 0.500 0.500 0.000
Ta 0.250 0.250 0.250
Ta 0.250 0.750 0.750
Ta 0.750 0.250 0.750
Ta 0.750 0.750 0.250
Al 0.000 0.000 0.500
Al 0.000 0.500 0.000
Al 0.500 0.000 0.000
Al 0.500 0.500 0.500
Cu 0.250 0.250 0.750
Cu 0.250 0.750 0.250
Cu 0.750 0.250 0.250
Cu 0.750 0.750 0.750

---

(2)
Density functional theory data (PBE) for a relaxed RbNaTe3Pd crystal.

Calculated total energy (hartree per atom): -0.1209
Space-group type: Cmcm, No. 63
Crystal system: orthorhombic

Cell: 8.307 8.307 11.094 Å, 90.00 90.00 151.11°
Positions (direct):
Rb 0.234 0.766 0.750
Rb 0.766 0.234 0.250
Na 0.458 0.542 0.250
Na 0.542 0.458 0.750
Te 0.084 0.916 0.250
Te 0.388 0.612 0.004
Te 0.388 0.612 0.496
Te 0.612 0.388 0.504
Te 0.612 0.388 0.996
Te 0.916 0.084 0.750
Pd 0.000 0.000 0.000
Pd 0.000 0.000 0.500

---

(3)
Density functional theory data (PBE) for a relaxed Sc2IrOs3 crystal.

Calculated total energy (hartree per atom): -0.3561
Space-group type: P6_3/mmc, No. 194
Crystal system: hexagonal
Energy relative to the elements (eV/atom): -0.492
Size of the total moment (μB/atom): 0.00

Cell: 5.162 5.162 8.685 Å, 90.00 90.00 120.00°
Positions (direct):
Sc 0.333 0.667 0.069
Sc 0.333 0.667 0.431
Sc 0.667 0.333 0.569
Sc 0.667 0.333 0.931
Ir 0.000 0.000 0.000
Ir 0.000 0.000 0.500
Os 0.172 0.343 0.750
Os 0.172 0.828 0.750
Os 0.343 0.172 0.250
Os 0.657 0.828 0.750
Os 0.828 0.172 0.250
Os 0.828 0.657 0.250

---

(4)
Density functional theory data (PBE) for a relaxed Sc2SnPd crystal.

Calculated total energy (hartree per atom): -0.2177
Space-group type: F-43m, No. 216
Crystal system: cubic
Size of the total moment (μB/atom): 0.49

Cell: 6.820 6.820 6.820 Å, 90.00 90.00 90.00°
Positions (direct):
Sc 0.000 0.000 0.000
Sc 0.000 0.500 0.500
Sc 0.250 0.250 0.250
Sc 0.250 0.750 0.750
Sc 0.500 0.000 0.500
Sc 0.500 0.500 0.000
Sc 0.750 0.250 0.750
Sc 0.750 0.750 0.250
Sn 0.000 0.000 0.500
Sn 0.000 0.500 0.000
Sn 0.500 0.000 0.000
Sn 0.500 0.500 0.500
Pd 0.250 0.250 0.750
Pd 0.250 0.750 0.250
Pd 0.750 0.250 0.250
Pd 0.750 0.750 0.750

---

(5)
Density functional theory data (PBE) for a relaxed NaLu crystal.

Calculated total energy (hartree per atom): -0.0959
E above lowest polymorph (eV/atom): 0.000
Space-group type: P-6m2, No. 187
Crystal system: hexagonal
Size of the total moment (μB/atom): 0.01

Cell: 3.382 3.382 6.136 Å, 90.00 90.00 120.00°
Positions (direct):
Na 0.000 0.000 0.000
Lu 0.333 0.667 0.500

---

(6)
Density functional theory data (PBE) for a relaxed Sr2NbAg crystal.

Calculated total energy (hartree per atom): -0.1231
Space-group type: F-43m, No. 216
Crystal system: cubic
Size of the total moment (μB/atom): 0.95

Cell: 7.712 7.712 7.712 Å, 90.00 90.00 90.00°
Positions (direct):
Sr 0.000 0.000 0.000
Sr 0.000 0.500 0.500
Sr 0.250 0.250 0.250
Sr 0.250 0.750 0.750
Sr 0.500 0.000 0.500
Sr 0.500 0.500 0.000
Sr 0.750 0.250 0.750
Sr 0.750 0.750 0.250
Nb 0.000 0.000 0.500
Nb 0.000 0.500 0.000
Nb 0.500 0.000 0.000
Nb 0.500 0.500 0.500
Ag 0.250 0.250 0.750
Ag 0.250 0.750 0.250
Ag 0.750 0.250 0.250
Ag 0.750 0.750 0.750

---

(7)
Density functional theory data (PBE) for a relaxed TlIn2Ni2 crystal.

Calculated total energy (hartree per atom): -0.1332
Space-group type: P4/mmm, No. 123
Crystal system: tetragonal
Size of the total moment (μB/atom): 0.00

Cell: 4.457 4.457 5.094 Å, 90.00 90.00 90.00°
Positions (direct):
Tl 0.000 0.000 0.000
In 0.000 0.500 0.500
In 0.500 0.000 0.500
Ni 0.500 0.500 0.232
Ni 0.500 0.500 0.768

---

(8)
Density functional theory data (PBE) for a relaxed YAl2Cu3 crystal.

Calculated total energy (hartree per atom): -0.1667
Space-group type: P6/mmm, No. 191
Crystal system: hexagonal
Size of the total moment (μB/atom): 0.00

Cell: 5.259 5.259 3.987 Å, 90.00 90.00 120.00°
Positions (direct):
Y 0.000 0.000 0.000
Al 0.333 0.667 0.000
Al 0.667 0.333 0.000
Cu 0.000 0.500 0.500
Cu 0.500 0.000 0.500
Cu 0.500 0.500 0.500

---

(9)
Density functional theory data (PBE) for a relaxed Re7Ni8 crystal.

Calculated total energy (hartree per atom): -0.3195
E above lowest polymorph (eV/atom): 0.000
Space-group type: P4_2/mnm, No. 136
Crystal system: tetragonal
Energy relative to the elements (eV/atom): 0.072
Size of the total moment (μB/atom): 0.01

Cell: 9.094 9.094 4.626 Å, 90.00 90.00 90.00°
Positions (direct):
Re 0.000 0.000 0.000
Re 0.040 0.369 0.500
Re 0.103 0.103 0.500
Re 0.131 0.540 0.000
Re 0.369 0.040 0.500
Re 0.397 0.603 0.000
Re 0.460 0.869 0.000
Re 0.500 0.500 0.500
Re 0.540 0.131 0.000
Re 0.603 0.397 0.000
Re 0.631 0.960 0.500
Re 0.869 0.460 0.000
Re 0.897 0.897 0.500
Re 0.960 0.631 0.500
Ni 0.066 0.259 0.000
Ni 0.181 0.819 0.250
Ni 0.181 0.819 0.750
Ni 0.241 0.566 0.500
Ni 0.259 0.066 0.000
Ni 0.319 0.319 0.250
Ni 0.319 0.319 0.750
Ni 0.434 0.759 0.500
Ni 0.566 0.241 0.500
Ni 0.681 0.681 0.250
Ni 0.681 0.681 0.750
Ni 0.741 0.934 0.000
Ni 0.759 0.434 0.500
Ni 0.819 0.181 0.250
Ni 0.819 0.181 0.750
Ni 0.934 0.741 0.000

---

(10)
Density functional theory data (PBE) for a relaxed DySi2IrAu crystal.

Calculated total energy (hartree per atom): -0.2281
Space-group type: I-4m2, No. 119
Crystal system: tetragonal
Size of the total moment (μB/atom): 0.00

Cell: 4.181 4.181 10.046 Å, 90.00 90.00 90.00°
Positions (direct):
Dy 0.000 0.000 0.000
Dy 0.500 0.500 0.500
Si 0.000 0.000 0.384
Si 0.000 0.000 0.616
Si 0.500 0.500 0.116
Si 0.500 0.500 0.884
Ir 0.000 0.500 0.250
Ir 0.500 0.000 0.750
Au 0.000 0.500 0.750
Au 0.500 0.000 0.250

---

(11)
Density functional theory data (PBE) for a relaxed InSnAuSeS2 crystal.

Calculated total energy (hartree per atom): -0.1436
Space-group type: Cmcm, No. 63
Crystal system: orthorhombic

Cell: 7.421 7.421 10.622 Å, 90.00 90.00 149.20°
Positions (direct):
In 0.200 0.800 0.750
In 0.800 0.200 0.250
Sn 0.500 0.500 0.000
Sn 0.500 0.500 0.500
Au 0.151 0.849 0.250
Au 0.849 0.151 0.750
Se 0.444 0.556 0.250
Se 0.556 0.444 0.750
S 0.127 0.873 0.031
S 0.127 0.873 0.469
S 0.873 0.127 0.531
S 0.873 0.127 0.969

---

(12)
Density functional theory data (PBE) for a relaxed TbMg crystal.

Calculated total energy (hartree per atom): -0.0677
Space-group type: F-43m, No. 216
Crystal system: cubic
Size of the total moment (μB/atom): 0.01

Cell: 7.066 7.066 7.066 Å, 90.00 90.00 90.00°
Positions (direct):
Tb 0.000 0.000 0.000
Tb 0.000 0.500 0.500
Tb 0.500 0.000 0.500
Tb 0.500 0.500 0.000
Mg 0.250 0.250 0.250
Mg 0.250 0.750 0.750
Mg 0.750 0.250 0.750
Mg 0.750 0.750 0.250